Entry 1:
A plane-wave DFT calculation with GGA-PBE was carried out for SmAg3Te3 after structural relaxation.

## Properties
- E: -3.807 eV/atom
- Space-group type: R-3 (148)

Lattice parameters (Å, degrees): 8.6296 8.6296 8.6296 54.49 54.49 54.49
Sites, in units of the cell vectors:
Sm1 0.1665 0.1665 0.1665
Sm2 0.8335 0.8335 0.8335
Ag1 0.0142 0.7327 0.3725
Ag2 0.2673 0.6275 0.9858
Ag3 0.3725 0.0142 0.7327
Ag4 0.6275 0.9858 0.2673
Ag5 0.7327 0.3725 0.0142
Ag6 0.9858 0.2673 0.6275
Te1 0.1062 0.4262 0.7424
Te2 0.2576 0.8938 0.5738
Te3 0.4262 0.7424 0.1062
Te4 0.5738 0.2576 0.8938
Te5 0.7424 0.1062 0.4262
Te6 0.8938 0.5738 0.2576


Entry 2:
A plane-wave DFT calculation with GGA-PBE was carried out for ErNpMo after structural relaxation.

## Properties
- Energy relative to the elements: 2.3 eV per formula unit
- Space-group type: F-43m (216)

Lattice parameters (Å, degrees): 4.6881 4.6881 4.6881 60.00 60.00 60.00
Sites, in units of the cell vectors:
Er1 0.0000 0.0000 0.0000
Np1 0.5000 0.5000 0.5000
Mo1 0.2500 0.2500 0.2500


Entry 3:
A plane-wave DFT calculation with GGA-PBE was carried out for Te2W after structural relaxation.

## Properties
- E: -6.493 eV/atom
- Space-group type: P6_3/mmc (194)

Lattice parameters (Å, degrees): 3.5535 3.5535 14.6252 90.00 90.00 120.00
Sites, in units of the cell vectors:
Te1 0.3333 0.6667 0.1255
Te2 0.3333 0.6667 0.3745
Te3 0.6667 0.3333 0.6255
Te4 0.6667 0.3333 0.8745
W1 0.3333 0.6667 0.7500
W2 0.6667 0.3333 0.2500


Entry 4:
A plane-wave DFT calculation with GGA-PBE was carried out for ZrBeTlCo after structural relaxation.

## Properties
- E: -5.111 eV/atom
- Space-group type: F-43m (216)

Lattice parameters (Å, degrees): 4.5294 4.5294 4.5294 60.00 60.00 60.00
Sites, in units of the cell vectors:
Zr1 0.0000 0.0000 0.0000
Be1 0.5000 0.5000 0.5000
Tl1 0.7500 0.7500 0.7500
Co1 0.2500 0.2500 0.2500


Entry 5:
A plane-wave DFT calculation with GGA-PBE was carried out for LiCuTcTe2Se after structural relaxation.

## Properties
- E: -4.482 eV/atom
- Space-group type: Cmcm (63)

Lattice parameters (Å, degrees): 7.1438 7.1438 9.7816 90.00 90.00 151.16
Sites, in units of the cell vectors:
Li1 0.2405 0.7595 0.7500
Li2 0.7595 0.2405 0.2500
Cu1 0.0314 0.9686 0.2500
Cu2 0.9686 0.0314 0.7500
Tc1 0.5000 0.5000 0.0000
Tc2 0.5000 0.5000 0.5000
Te1 0.1467 0.8533 0.0470
Te2 0.1467 0.8533 0.4530
Te3 0.8533 0.1467 0.5470
Te4 0.8533 0.1467 0.9530
Se1 0.4166 0.5834 0.2500
Se2 0.5834 0.4166 0.7500


Entry 6:
A plane-wave DFT calculation with GGA-PBE was carried out for Mg3Os after structural relaxation.

## Properties
- E: -3.752 eV/atom
- Space-group type: Cmcm (63)

Lattice parameters (Å, degrees): 5.9914 5.9914 4.6702 90.00 90.00 122.01
Sites, in units of the cell vectors:
Mg1 0.0766 0.9234 0.7500
Mg2 0.0832 0.4285 0.7500
Mg3 0.4285 0.0832 0.2500
Mg4 0.5715 0.9168 0.7500
Mg5 0.9168 0.5715 0.2500
Mg6 0.9234 0.0766 0.2500
Os1 0.4435 0.5565 0.2500
Os2 0.5565 0.4435 0.7500


Entry 7:
A plane-wave DFT calculation with GGA-PBE was carried out for KBaSnAu after structural relaxation.

## Properties
- E: -2.847 eV/atom
- Space-group type: F-43m (216)

Lattice parameters (Å, degrees): 5.8263 5.8263 5.8263 60.00 60.00 60.00
Sites, in units of the cell vectors:
K1 0.0000 0.0000 0.0000
Ba1 0.5000 0.5000 0.5000
Sn1 0.2500 0.2500 0.2500
Au1 0.7500 0.7500 0.7500


Entry 8:
A plane-wave DFT calculation with GGA-PBE was carried out for TmSiSn after structural relaxation.

## Properties
- E: -4.717 eV/atom
- Space-group type: F-43m (216)

Lattice parameters (Å, degrees): 4.7686 4.7686 4.7686 60.00 60.00 60.00
Sites, in units of the cell vectors:
Tm1 0.0000 0.0000 0.0000
Si1 0.7500 0.7500 0.7500
Sn1 0.5000 0.5000 0.5000


Entry 9:
A plane-wave DFT calculation with GGA-PBE was carried out for Sb5Pd3Au after structural relaxation.

## Properties
- E: -4.457 eV/atom
- Space-group type: P6/mmm (191)

Lattice parameters (Å, degrees): 5.5572 5.5572 7.9122 90.00 90.00 120.00
Sites, in units of the cell vectors:
Sb1 0.0000 0.0000 0.0000
Sb2 0.3333 0.6667 0.2957
Sb3 0.3333 0.6667 0.7043
Sb4 0.6667 0.3333 0.2957
Sb5 0.6667 0.3333 0.7043
Pd1 0.0000 0.5000 0.0000
Pd2 0.5000 0.0000 0.0000
Pd3 0.5000 0.5000 0.0000
Au1 0.0000 0.0000 0.5000


Entry 10:
A plane-wave DFT calculation with GGA-PBE was carried out for CoNiAgGe after structural relaxation.

## Properties
- E: -4.926 eV/atom
- Space-group type: F-43m (216)

Lattice parameters (Å, degrees): 4.2291 4.2291 4.2291 60.00 60.00 60.00
Sites, in units of the cell vectors:
Co1 0.0000 0.0000 0.0000
Ni1 0.5000 0.5000 0.5000
Ag1 0.2500 0.2500 0.2500
Ge1 0.7500 0.7500 0.7500


Entry 11:
A plane-wave DFT calculation with GGA-PBE was carried out for BaSrU after structural relaxation.

## Properties
- E: -3.435 eV/atom
- Space-group type: F-43m (216)

Lattice parameters (Å, degrees): 6.1088 6.1088 6.1088 60.00 60.00 60.00
Sites, in units of the cell vectors:
Ba1 0.0000 0.0000 0.0000
Sr1 0.5000 0.5000 0.5000
U1 0.2500 0.2500 0.2500


Entry 12:
A plane-wave DFT calculation with GGA-PBE was carried out for NaLiTa2Se4 after structural relaxation.

## Properties
- E: -6.081 eV/atom
- Space-group type: P-3m1 (164)

Lattice parameters (Å, degrees): 3.5280 3.5280 14.2854 90.00 90.00 120.00
Sites, in units of the cell vectors:
Na1 0.0000 0.0000 0.0000
Li1 0.0000 0.0000 0.5000
Ta1 0.0000 0.0000 0.2634
Ta2 0.0000 0.0000 0.7366
Se1 0.3333 0.6667 0.6201
Se2 0.3333 0.6667 0.8526
Se3 0.6667 0.3333 0.1474
Se4 0.6667 0.3333 0.3799